CoHF2: relaxed, PBE with a Hubbard U.

Results
- M_tot (μB/atom) = 0.508
- volume (Å³ per cell) = 124
- D(E_F) (states/eV/cell) = 10.65
- E_tot (eV per atom) = -4.278
- excess energy over the best structure of this formula in the dataset (kJ per mole of atoms) = 0.0
- symmetry = R-3m (166)

```
CoHF2
1.0
3.051 0.000 0.000
-1.525 2.642 0.000
0.000 0.000 15.405
Co H F
3 3 6
Direct
0.000 0.000 0.000
0.333 0.667 0.667
0.667 0.333 0.333
0.000 0.000 0.500
0.333 0.667 0.167
0.667 0.333 0.833
0.000 0.000 0.425
0.000 0.000 0.575
0.333 0.667 0.092
0.333 0.667 0.241
0.667 0.333 0.759
0.667 0.333 0.908
```